Entry from the Alexandria database: an optimized crystal structure of MnAu2NO (GGA+U).

Output
Calculated total energy   -4.666 eV per atom

abc: 4.036 4.036 5.086
angles: 90.00 90.00 90.00
Element x y z (fractional)
Mn (0.000, 0.000, 0.000)
Au (0.000, 0.500, 0.500)
Au (0.500, 0.000, 0.500)
N (0.500, 0.500, 0.500)
O (0.500, 0.500, 0.000)